Here is an optimized crystal structure of MnCrGa2 from the Alexandria database. Energies are from PBE.

N(E_F)   2.79 states/eV/cell
Mass density   7.48 Mg/m³
DFT formation energy   -17 meV/atom

Geometry as POSCAR:
```
MnCrGa2
1.0
3.5628 0.0000 0.0000
0.0000 3.9193 0.0000
0.0000 0.0000 3.9193
Mn Cr Ga
1 1 2
Cartesian
1.7814 0.0000 0.0000
1.7814 1.9596 1.9596
0.0000 0.0000 1.9596
0.0000 1.9596 0.0000
```